1.
Density functional theory data (GGA-PBE) for GdSbPd4 after structural relaxation.

Geometry as POSCAR:
```
GdSbPd4
1.0
0.000 3.829 3.829
3.829 0.000 3.829
3.829 3.829 0.000
Gd Sb Pd
1 1 4
direct
0.000 0.000 0.000
0.750 0.750 0.750
0.375 0.375 0.375
0.375 0.375 0.876
0.375 0.876 0.375
0.876 0.375 0.375
```

## Properties
Its formation energy (no corrections) is -0.561 eV/atom.



2.
Density functional theory data (GGA-PBE) for TlTeAu after structural relaxation.

Geometry as POSCAR:
```
TlTeAu
1.0
0.000 2.877 6.288
2.290 0.000 6.288
2.290 2.877 0.000
Tl Te Au
1 1 1
direct
0.000 0.000 0.000
0.713 0.713 0.287
0.342 0.342 0.658
```

## Properties
Its formation energy (no corrections) is 0.088 eV/atom.



3.
Density functional theory data (GGA-PBE) for HoCdHgPt after structural relaxation.

Geometry as POSCAR:
```
HoCdHgPt
1.0
0.000 3.483 3.483
3.483 0.000 3.483
3.483 3.483 0.000
Ho Cd Hg Pt
1 1 1 1
direct
0.000 0.000 0.000
0.500 0.500 0.500
0.250 0.250 0.250
0.750 0.750 0.750
```

## Properties
The formation enthalpy at 0 K is -585 meV/atom.



4.
Density functional theory data (GGA-PBE) for CsBe2H8Ru after structural relaxation.

Geometry as POSCAR:
```
CsBe2H8Ru
1.0
2.159 1.246 7.881
-2.159 1.246 7.881
0.000 -2.493 7.881
Cs Be H Ru
1 2 8 1
direct
0.000 0.000 0.000
0.214 0.214 0.214
0.786 0.786 0.786
0.151 0.761 0.451
0.239 0.549 0.849
0.275 0.275 0.275
0.451 0.151 0.761
0.549 0.849 0.239
0.725 0.725 0.725
0.761 0.451 0.151
0.849 0.239 0.549
0.500 0.500 0.500
```

## Properties
Its uncorrected energy is -44.36 eV per cell.



5.
Density functional theory data (GGA-PBE) for Pm2HgBi after structural relaxation.

Geometry as POSCAR:
```
Pm2HgBi
1.0
2.170 1.253 8.077
-2.170 1.253 8.077
0.000 -2.506 8.077
Pm Hg Bi
2 1 1
direct
0.000 0.000 0.000
0.173 0.173 0.173
0.419 0.419 0.419
0.587 0.587 0.587
```

## Properties
The value obtained for the energy above the lowest structure with this stoichiometry is 115 meV per atom. The formation enthalpy at 0 K is -525 meV/atom.



6.
Density functional theory data (GGA-PBE) for Mn2VB after structural relaxation.

Geometry as POSCAR:
```
Mn2VB
1.0
3.679 0.000 0.000
0.000 3.679 0.000
0.000 0.000 2.989
Mn V B
2 1 1
direct
0.000 0.500 0.000
0.500 0.000 0.000
0.000 0.000 0.500
0.500 0.500 0.500
```

## Properties
The formation enthalpy at 0 K is -99 meV/atom.



Calculated calculated density in order - 10.42 10.60 13.23 3.39 8.82 7.04 Mg/m³
Calculated DOS(E_F) in order - 1.003 0.584 0.751 0.409 0.954 0.385 states/eV/atom